## w
Computed, not measured: an optimized crystal structure of Pm4HoEr6 at the PBE level of DFT.

Cell: 9.683 9.683 9.683 Å, 140.12 140.12 57.68°
Fractional positions:
Pm: 0.014 0.636 0.000
Pm: 0.364 0.364 0.378
Pm: 0.636 0.014 0.000
Pm: 0.986 0.986 0.622
Ho: 0.000 0.000 0.000
Er: 0.000 0.500 0.500
Er: 0.195 0.195 0.643
Er: 0.447 0.805 0.000
Er: 0.500 0.000 0.500
Er: 0.553 0.553 0.357
Er: 0.805 0.447 0.000

- Calculated density: 7.846 g/cm3
- Symmetry: I-42m



## x
Computed, not measured: an optimized crystal structure of Pm4HoEr6 at the PBE level of DFT.

Cell: 8.477 8.477 8.477 Å, 126.38 126.38 79.27°
Fractional positions:
Pm: 0.249 0.249 0.650
Pm: 0.402 0.751 0.000
Pm: 0.598 0.598 0.350
Pm: 0.751 0.402 0.000
Ho: 0.000 0.000 0.000
Er: 0.000 0.500 0.500
Er: 0.060 0.575 0.000
Er: 0.425 0.425 0.485
Er: 0.500 0.000 0.500
Er: 0.575 0.060 0.000
Er: 0.940 0.940 0.515

- Calculated density: 7.604 g/cm3
- Symmetry: I-42m



Energy relative to the most stable one, in kJ/mol of atoms: w 0.0; x 15.5



## w
Computed, not measured: an optimized crystal structure of Pm2Ho7Er2 at the PBE level of DFT.

Cell: 8.006 8.006 6.015 Å, 105.91 105.91 91.97°
Fractional positions:
Pm: 0.214 0.786 0.000
Pm: 0.786 0.214 0.000
Ho: 0.000 0.000 0.500
Ho: 0.063 0.591 0.327
Ho: 0.235 0.235 0.084
Ho: 0.409 0.937 0.673
Ho: 0.591 0.063 0.327
Ho: 0.765 0.765 0.916
Ho: 0.937 0.409 0.673
Er: 0.408 0.408 0.693
Er: 0.592 0.592 0.307

- Calculated density: 8.342 g/cm3
- Symmetry: C2/m



## x
Computed, not measured: an optimized crystal structure of Pm2Ho7Er2 at the PBE level of DFT.

Cell: 8.001 8.001 6.055 Å, 106.31 106.31 91.49°
Fractional positions:
Pm: 0.089 0.089 0.304
Pm: 0.911 0.911 0.696
Ho: 0.088 0.563 0.321
Ho: 0.272 0.272 0.920
Ho: 0.437 0.912 0.679
Ho: 0.500 0.500 0.500
Ho: 0.563 0.088 0.321
Ho: 0.728 0.728 0.080
Ho: 0.912 0.437 0.679
Er: 0.286 0.714 0.000
Er: 0.714 0.286 0.000

- Calculated density: 8.328 g/cm3
- Symmetry: C2/m



Energy relative to the most stable one, in kJ/mol of atoms: w 0.7; x 0.0



## w
Computed, not measured: an optimized crystal structure of Pm2Ho7Er at the PBE level of DFT.

Cell: 14.705 14.705 3.502 Å, 90.00 90.00 154.62°
Fractional positions:
Pm: 0.208 0.792 0.000
Pm: 0.792 0.208 0.000
Ho: 0.000 0.000 0.000
Ho: 0.156 0.352 0.000
Ho: 0.315 0.685 0.500
Ho: 0.352 0.156 0.000
Ho: 0.648 0.844 0.000
Ho: 0.685 0.315 0.500
Ho: 0.844 0.648 0.000
Er: 0.500 0.500 0.500

- Calculated density: 8.246 g/cm3
- Symmetry: Cmmm



## x
Computed, not measured: an optimized crystal structure of Pm2Ho7Er at the PBE level of DFT.

Cell: 6.133 6.138 9.381 Å, 71.04 70.99 80.41°
Fractional positions:
Pm: 0.100 0.000 0.300
Pm: 0.900 0.000 0.700
Ho: 0.000 0.500 0.000
Ho: 0.201 0.499 0.600
Ho: 0.300 0.000 0.901
Ho: 0.401 0.499 0.200
Ho: 0.599 0.501 0.800
Ho: 0.700 0.000 0.099
Ho: 0.799 0.501 0.400
Er: 0.500 0.000 0.500

- Calculated density: 8.496 g/cm3
- Symmetry: P-1



Energy relative to the most stable one, in kJ/mol of atoms: w 13.5; x 0.0



## w
Computed, not measured: an optimized crystal structure of Pm3Ho4Er at the PBE level of DFT.

Cell: 11.377 7.290 6.290 Å, 90.00 90.00 90.00°
Fractional positions:
Pm: 0.000 0.127 0.000
Pm: 0.250 0.126 0.666
Pm: 0.250 0.874 0.166
Pm: 0.500 0.873 0.500
Pm: 0.750 0.126 0.666
Pm: 0.750 0.874 0.166
Ho: 0.000 0.377 0.499
Ho: 0.000 0.622 0.000
Ho: 0.248 0.622 0.667
Ho: 0.252 0.378 0.167
Ho: 0.500 0.378 0.500
Ho: 0.500 0.623 0.999
Ho: 0.748 0.378 0.167
Ho: 0.752 0.622 0.667
Er: 0.000 0.871 0.501
Er: 0.500 0.129 0.001

- Calculated density: 8.034 g/cm3
- Symmetry: Pmn2_1



## x
Computed, not measured: an optimized crystal structure of Pm3Ho4Er at the PBE level of DFT.

Cell: 3.541 5.712 13.205 Å, 94.42 97.63 90.02°
Fractional positions:
Pm: 0.000 0.000 0.000
Pm: 0.140 0.720 0.280
Pm: 0.860 0.280 0.720
Ho: 0.277 0.761 0.553
Ho: 0.398 0.796 0.796
Ho: 0.602 0.204 0.204
Ho: 0.723 0.239 0.447
Er: 0.500 0.500 0.000

- Calculated density: 7.940 g/cm3
- Symmetry: P-1



Energy relative to the most stable one, in kJ/mol of atoms: w 0.0; x 16.8



## w
Computed, not measured: an optimized crystal structure of PmHo12Er6 at the PBE level of DFT.

Cell: 9.239 9.239 9.239 Å, 107.73 107.73 107.73°
Fractional positions:
Pm: 0.000 0.000 0.000
Ho: 0.111 0.500 0.889
Ho: 0.111 0.889 0.500
Ho: 0.145 0.364 0.364
Ho: 0.364 0.145 0.364
Ho: 0.364 0.364 0.145
Ho: 0.500 0.111 0.889
Ho: 0.500 0.889 0.111
Ho: 0.636 0.636 0.855
Ho: 0.636 0.855 0.636
Ho: 0.855 0.636 0.636
Ho: 0.889 0.111 0.500
Ho: 0.889 0.500 0.111
Er: 0.267 0.687 0.687
Er: 0.313 0.313 0.733
Er: 0.313 0.733 0.313
Er: 0.687 0.267 0.687
Er: 0.687 0.687 0.267
Er: 0.733 0.313 0.313

- Calculated density: 8.075 g/cm3
- Symmetry: R-3m



## x
Computed, not measured: an optimized crystal structure of PmHo12Er6 at the PBE level of DFT.

Cell: 8.465 8.465 8.465 Å, 88.32 88.32 88.32°
Fractional positions:
Pm: 0.000 0.000 0.000
Ho: 0.009 0.209 0.356
Ho: 0.209 0.356 0.009
Ho: 0.226 0.456 0.565
Ho: 0.356 0.009 0.209
Ho: 0.435 0.774 0.544
Ho: 0.456 0.565 0.226
Ho: 0.544 0.435 0.774
Ho: 0.565 0.226 0.456
Ho: 0.644 0.991 0.791
Ho: 0.774 0.544 0.435
Ho: 0.791 0.644 0.991
Ho: 0.991 0.791 0.644
Er: 0.093 0.688 0.256
Er: 0.256 0.093 0.688
Er: 0.312 0.744 0.907
Er: 0.688 0.256 0.093
Er: 0.744 0.907 0.312
Er: 0.907 0.312 0.744

- Calculated density: 8.574 g/cm3
- Symmetry: R-3



Energy relative to the most stable one, in kJ/mol of atoms: w 27.3; x 0.0



## w
Computed, not measured: an optimized crystal structure of Pm3Ho4Er5 at the PBE level of DFT.

Cell: 8.476 8.476 9.236 Å, 114.42 114.42 40.59°
Fractional positions:
Pm: 0.000 0.000 0.000
Pm: 0.291 0.291 0.768
Pm: 0.709 0.709 0.232
Ho: 0.291 0.291 0.122
Ho: 0.418 0.418 0.558
Ho: 0.582 0.582 0.442
Ho: 0.709 0.709 0.878
Er: 0.073 0.073 0.697
Er: 0.172 0.172 0.388
Er: 0.500 0.500 0.000
Er: 0.828 0.828 0.612
Er: 0.927 0.927 0.303

- Calculated density: 8.275 g/cm3
- Symmetry: C2/m



## x
Computed, not measured: an optimized crystal structure of Pm3Ho4Er5 at the PBE level of DFT.

Cell: 6.140 7.094 8.683 Å, 89.98 89.86 89.84°
Fractional positions:
Pm: 0.000 0.000 0.000
Pm: 0.166 0.250 0.334
Pm: 0.834 0.750 0.666
Ho: 0.168 0.749 0.333
Ho: 0.333 0.500 0.668
Ho: 0.667 0.500 0.332
Ho: 0.832 0.251 0.667
Er: 0.000 0.500 0.000
Er: 0.335 0.000 0.667
Er: 0.499 0.749 0.000
Er: 0.501 0.251 0.000
Er: 0.665 0.000 0.333

- Calculated density: 8.478 g/cm3
- Symmetry: P-1



Energy relative to the most stable one, in kJ/mol of atoms: w 21.4; x 0.0



## w
Computed, not measured: an optimized crystal structure of Pm4Ho2Er3 at the PBE level of DFT.

Cell: 9.756 9.756 7.043 Å, 90.00 90.00 119.99°
Fractional positions:
Pm: 0.026 0.679 0.000
Pm: 0.319 0.351 0.000
Pm: 0.321 0.974 0.500
Pm: 0.351 0.319 0.500
Pm: 0.649 0.681 0.500
Pm: 0.679 0.026 0.500
Pm: 0.681 0.649 0.000
Pm: 0.974 0.321 0.000
Ho: 0.028 0.349 0.500
Ho: 0.349 0.028 0.000
Ho: 0.651 0.972 0.000
Ho: 0.972 0.651 0.500
Er: 0.000 0.000 0.250
Er: 0.000 0.000 0.750
Er: 0.330 0.670 0.250
Er: 0.330 0.670 0.750
Er: 0.670 0.330 0.250
Er: 0.670 0.330 0.750

- Calculated density: 8.075 g/cm3
- Symmetry: Cccm



## x
Computed, not measured: an optimized crystal structure of Pm4Ho2Er3 at the PBE level of DFT.

Cell: 10.209 10.209 5.976 Å, 96.02 96.02 69.79°
Fractional positions:
Pm: 0.047 0.825 0.954
Pm: 0.163 0.382 0.117
Pm: 0.175 0.953 0.546
Pm: 0.382 0.163 0.617
Pm: 0.618 0.837 0.383
Pm: 0.825 0.047 0.454
Pm: 0.837 0.618 0.883
Pm: 0.953 0.175 0.046
Ho: 0.291 0.504 0.705
Ho: 0.496 0.709 0.795
Ho: 0.504 0.291 0.205
Ho: 0.709 0.496 0.295
Er: 0.017 0.320 0.581
Er: 0.320 0.017 0.081
Er: 0.350 0.650 0.250
Er: 0.650 0.350 0.750
Er: 0.680 0.983 0.919
Er: 0.983 0.680 0.419

- Calculated density: 8.087 g/cm3
- Symmetry: C2/c



Energy relative to the most stable one, in kJ/mol of atoms: w 0.0; x 4.0



## w
Computed, not measured: an optimized crystal structure of Pm2Ho7Er3 at the PBE level of DFT.

Cell: 5.742 3.567 18.606 Å, 90.00 93.63 90.00°
Fractional positions:
Pm: 0.205 0.000 0.294
Pm: 0.795 0.000 0.706
Ho: 0.180 0.500 0.142
Ho: 0.242 0.000 0.462
Ho: 0.317 0.000 0.825
Ho: 0.500 0.500 0.000
Ho: 0.683 0.000 0.175
Ho: 0.758 0.000 0.538
Ho: 0.820 0.500 0.858
Er: 0.000 0.000 0.000
Er: 0.280 0.500 0.630
Er: 0.720 0.500 0.370

- Calculated density: 8.497 g/cm3
- Symmetry: P2/m



## x
Computed, not measured: an optimized crystal structure of Pm2Ho7Er3 at the PBE level of DFT.

Cell: 6.299 3.499 17.338 Å, 90.00 96.22 90.00°
Fractional positions:
Pm: 0.060 0.000 0.173
Pm: 0.940 0.000 0.827
Ho: 0.000 0.500 0.500
Ho: 0.228 0.000 0.667
Ho: 0.256 0.000 0.999
Ho: 0.275 0.500 0.337
Ho: 0.725 0.500 0.663
Ho: 0.744 0.000 0.001
Ho: 0.772 0.000 0.333
Er: 0.452 0.500 0.843
Er: 0.500 0.000 0.500
Er: 0.548 0.500 0.157

- Calculated density: 8.507 g/cm3
- Symmetry: P2/m



Energy relative to the most stable one, in kJ/mol of atoms: w 1.0; x 0.0